VASP calculation (PBEsol) on a geometry-optimized Ta2BeTe structure.

a b c (Å): 4.565 4.565 4.565
angles (deg): 60.00 60.00 60.00
Fractional positions:
Ta1 0.750 0.750 0.750
Ta2 0.000 0.000 0.000
Be1 0.500 0.500 0.500
Te1 0.250 0.250 0.250

Values from the calculation:
Formation energy (no corrections), eV per atom: 0.58
Size of the total moment, μB per atom: 0.0000
Volume, Å³ per atom: 16.814